Record 1
DFT (GGA-PBE) results for crystalline PrSn2IrPd at its relaxed geometry.

## Properties
* space-group type: P4/nmm, No. 129

a = 4.4794 Å, b = 4.4794 Å, c = 11.1176 Å
α = 90.00°, β = 90.00°, γ = 90.00°
Positions (direct):
Pr  0.5000  0.0000  0.7621
Pr  0.0000  0.5000  0.2379
Sn  0.5000  0.0000  0.1292
Sn  0.0000  0.0000  0.5000
Sn  0.5000  0.5000  0.5000
Sn  0.0000  0.5000  0.8708
Ir  0.5000  0.5000  0.0000
Ir  0.0000  0.0000  0.0000
Pd  0.5000  0.0000  0.3627
Pd  0.0000  0.5000  0.6373

---

Record 2
DFT (GGA-PBE) results for crystalline Pr2Sn2IrPd3 at its relaxed geometry.

## Properties
* space-group type: P3m1, No. 156

a = 4.6225 Å, b = 4.6225 Å, c = 9.3658 Å
α = 90.00°, β = 90.00°, γ = 120.00°
Positions (direct):
Sn  0.3333  0.6667  0.0132
Sn  0.3333  0.6667  0.5022
Pr  0.6667  0.3333  0.2441
Pr  0.0000  0.0000  0.7521
Ir  0.0000  0.0000  0.0734
Pd  0.6667  0.3333  0.9131
Pd  0.6667  0.3333  0.5814
Pd  0.0000  0.0000  0.4205

---

Record 3
DFT (GGA-PBE) results for crystalline PrSn2IrPd at its relaxed geometry.

## Properties
* space-group type: P4/nmm, No. 129

a = 4.6087 Å, b = 4.6087 Å, c = 10.6166 Å
α = 90.00°, β = 90.00°, γ = 90.00°
Positions (direct):
Sn  0.5000  0.0000  0.8714
Sn  0.0000  0.0000  0.5000
Sn  0.5000  0.5000  0.5000
Sn  0.0000  0.5000  0.1286
Pr  0.5000  0.0000  0.2527
Pr  0.0000  0.5000  0.7473
Pd  0.5000  0.5000  0.0000
Pd  0.0000  0.0000  0.0000
Ir  0.0000  0.5000  0.3720
Ir  0.5000  0.0000  0.6280

---

Record 4
DFT (GGA-PBE) results for crystalline Pr3Sn4Ir2Pd2 at its relaxed geometry.

## Properties
* space-group type: Immm, No. 71

a = 13.8663 Å, b = 13.8663 Å, c = 13.8663 Å
α = 162.53°, β = 160.85°, γ = 26.04°
Positions (direct):
Sn  0.6950  0.1950  0.5000
Sn  0.9474  0.9474  0.0000
Sn  0.0526  0.0526  0.0000
Sn  0.3050  0.8050  0.5000
Pr  0.8471  0.3471  0.5000
Pr  0.1529  0.6529  0.5000
Pr  0.5000  0.5000  0.0000
Pd  0.4019  0.9019  0.5000
Pd  0.5981  0.0981  0.5000
Ir  0.7532  0.7532  0.0000
Ir  0.2468  0.2468  0.0000

---

Record 5
DFT (GGA-PBE) results for crystalline Pr3Sn3IrPd2 at its relaxed geometry.

## Properties
* space-group type: P-62m, No. 189

a = 7.6490 Å, b = 7.6490 Å, c = 4.1627 Å
α = 90.00°, β = 90.00°, γ = 120.00°
Positions (direct):
Sn  0.7515  0.0000  0.5000
Sn  0.0000  0.7515  0.5000
Sn  0.2485  0.2485  0.5000
Pr  0.0000  0.4094  0.0000
Pr  0.5906  0.5906  0.0000
Pr  0.4094  0.0000  0.0000
Pd  0.6667  0.3333  0.5000
Pd  0.3333  0.6667  0.5000
Ir  0.0000  0.0000  0.0000

---

Record 6
DFT (GGA-PBE) results for crystalline Pr2Sn4IrPd at its relaxed geometry.

## Properties
* space-group type: Pm, No. 6

a = 4.5734 Å, b = 4.6284 Å, c = 9.6919 Å
α = 90.00°, β = 101.54°, γ = 90.00°
Positions (direct):
Sn  0.3578  0.0000  0.4230
Sn  0.7549  0.0000  0.9954
Sn  0.2406  0.5000  0.9995
Sn  0.6432  0.5000  0.5823
Pr  0.8506  0.5000  0.2711
Pr  0.1547  0.0000  0.7252
Pd  0.3237  0.0000  0.1507
Ir  0.6746  0.5000  0.8529

---

Record 7
DFT (GGA-PBE) results for crystalline Tb2PrSn3Ir2Pd at its relaxed geometry.

## Properties
* space-group type: Amm2, No. 38

a = 4.0535 Å, b = 7.5451 Å, c = 7.5451 Å
α = 120.29°, β = 90.00°, γ = 90.00°
Positions (direct):
Pd  0.0000  0.0048  0.0048
Ir  0.5000  0.3283  0.6691
Ir  0.5000  0.6691  0.3283
Tb  0.0000  0.9989  0.4112
Tb  0.0000  0.4112  0.9989
Sn  0.5000  0.2573  0.2573
Sn  0.5000  0.7415  0.0019
Sn  0.5000  0.0019  0.7415
Pr  0.0000  0.5869  0.5869

---

Record 8
DFT (GGA-PBE) results for crystalline IrPdPt at its relaxed geometry.

## Properties
* formation energy from the elements: 0.11 eV/atom
* space-group type: Pnma, No. 62

a = 5.5592 Å, b = 3.9143 Å, c = 8.3251 Å
α = 90.00°, β = 90.00°, γ = 90.00°
Positions (direct):
Pd  0.1254  0.7500  0.9171
Pd  0.6254  0.7500  0.5829
Pd  0.3746  0.2500  0.4171
Pd  0.8746  0.2500  0.0829
Pt  0.1254  0.7500  0.5873
Pt  0.6254  0.7500  0.9127
Pt  0.3746  0.2500  0.0873
Pt  0.8746  0.2500  0.4127
Ir  0.3752  0.2500  0.7525
Ir  0.1248  0.7500  0.2525
Ir  0.6248  0.7500  0.2475
Ir  0.8752  0.2500  0.7475

---

no.,E (eV per atom)
1,-6.0319
2,-5.9920
3,-6.0541
4,-6.0105
5,-5.9357
6,-5.6313
7,-6.2722
8,-6.5886